Material: Pu2PHPt6
Method: DFT, PBE-GGA
State: relaxed

The calculation puts the total DFT energy (no corrections) at -8.020 eV per atom. The density of states at the Fermi level comes out at 2.21 states/eV per atom.

The space group is Pmmn (No. 59, origin choice 2) and the conventional cell measures 6.0789, 7.9791 and 6.9496 Å, with angles of 90.00, 90.00 and 90.00 degrees. The distinct sites, in fractional coordinates, are Pu at (0.2500, 0.0249, 0.2207), P at (0.2500, 0.7500, 0.8588), H at (0.2500, 0.2500, 0.4432), Pt at (0.0268, 0.7500, 0.4805), Pt at (0.0295, 0.2500, 0.9180) and Pt at (0.2500, 0.9999, 0.6908).